No. 1
Zn2CuSe: relaxed, GGA-PBE.

Values from the calculation:
As for the space-group type: No. 216. The total energy is -2.289 eV/atom. As for the formation energy (no corrections): 0.24 eV per atom.

Lattice parameters (Å, degrees): 4.5700 4.5700 4.5700 60.00 60.00 60.00
Closest atoms and distances in Å follow each position.
Atoms (fractional coordinates):
Se 0.2500 0.2500 0.2500  4 Zn 2.80, 4 Cu 2.80
Cu 0.5000 0.5000 0.5000  4 Zn 2.80, 4 Se 2.80
Zn 0.7500 0.7500 0.7500  4 Cu 2.80, 4 Zn 2.80
Zn 0.0000 0.0000 0.0000  4 Se 2.80, 4 Zn 2.80


No. 2
K2Sr2F7: relaxed, GGA-PBE.

Values from the calculation:
As for the space-group type: No. 115. The total energy is -4.815 eV/atom. As for the formation energy (no corrections): -3.12 eV per atom.

Lattice parameters (Å, degrees): 4.1647 4.1647 12.4003 90.00 90.00 90.00
Closest atoms and distances in Å follow each position.
Atoms (fractional coordinates):
K 0.0000 0.5000 0.1344  6 F 2.63-2.67
K 0.5000 0.0000 0.8656  6 F 2.63-2.67
Sr 0.5000 0.0000 0.3815  8 F 2.51-2.55
Sr 0.0000 0.5000 0.6185  8 F 2.51-2.55
F 0.0000 0.0000 0.2637  2 Sr 2.54, 2 K 2.63
F 0.5000 0.5000 0.7318  2 Sr 2.51, 2 K 2.66
F 0.5000 0.5000 0.2682  2 Sr 2.51, 2 K 2.66
F 0.5000 0.5000 0.5000  4 Sr 2.55
F 0.0000 0.0000 0.7363  2 Sr 2.54, 2 K 2.63
F 0.0000 0.0000 0.5000  4 Sr 2.55
F 0.5000 0.5000 0.0000  4 K 2.67


No. 3
Ti2BrCl3: relaxed, GGA-PBE.

Values from the calculation:
The calculation puts the energy above the most stable polymorph in this dataset at 0.099 eV per atom. As for the space-group type: No. 12. The total energy is -5.131 eV/atom. As for the formation energy (no corrections): -1.30 eV per atom.

Lattice parameters (Å, degrees): 3.4185 9.0136 10.3046 103.79 99.55 90.00
Closest atoms and distances in Å follow each position.
Atoms (fractional coordinates):
Ti 0.0857 0.1490 0.1715  4 Cl 2.46-2.47, 2 Br 2.63
Ti 0.9143 0.8510 0.8285  4 Cl 2.46-2.47, 2 Br 2.63
Ti 0.2881 0.6170 0.5763  4 Cl 2.44-2.46, 1 Br 2.65
Ti 0.7119 0.3830 0.4237  4 Cl 2.44-2.46, 1 Br 2.65
Cl 0.5878 0.3478 0.1757  3 Ti 2.46-2.47
Cl 0.7070 0.6509 0.4141  3 Ti 2.44
Cl 0.4122 0.6522 0.8243  3 Ti 2.46-2.47
Cl 0.0369 0.8705 0.0739  2 Ti 2.46-2.47
Cl 0.9631 0.1295 0.9261  2 Ti 2.46-2.47
Cl 0.2930 0.3491 0.5859  3 Ti 2.44
Br 0.3280 0.9198 0.6560  3 Ti 2.63-2.65
Br 0.6720 0.0802 0.3440  3 Ti 2.63-2.65


No. 4
SrPuSn6: relaxed, GGA-PBE.

Values from the calculation:
As for the space-group type: No. 123. The total energy is -5.378 eV/atom. The formation energy from the elements comes out at -0.37 eV/atom.

Lattice parameters (Å, degrees): 4.7644 4.7644 9.5011 90.00 90.00 90.00
Closest atoms and distances in Å follow each position.
Atoms (fractional coordinates):
Sn 0.5000 0.5000 0.0000  4 Sr 3.37, 8 Sn 3.42
Sn 0.0000 0.5000 0.2584  8 Sn 3.31-3.42, 2 Pu 3.31, 2 Sr 3.42
Sn 0.5000 0.5000 0.5000  8 Sn 3.31, 4 Pu 3.37
Sn 0.5000 0.0000 0.7416  2 Pu 3.31, 8 Sn 3.31-3.42, 2 Sr 3.42
Sn 0.0000 0.5000 0.7416  8 Sn 3.31-3.42, 2 Pu 3.31, 2 Sr 3.42
Sn 0.5000 0.0000 0.2584  2 Pu 3.31, 8 Sn 3.31-3.42, 2 Sr 3.42
Pu 0.0000 0.0000 0.5000  12 Sn 3.31-3.37
Sr 0.0000 0.0000 0.0000  12 Sn 3.37-3.42